5
Lattice="-2.6393 -1.4897 -3.7882 2.2892 -4.2764 0.0867 -3.3659 -1.7404 3.0295" Properties=species:S:1:pos:R:3 comment="HfTlW3, relaxed, DFT PBE" rho_g_cm3=13.6 formation_energy_ev_per_atom=2.4412 space_group="No. 221" final_energy_ev_per_atom=-7.79 pbc="T T T"
Tl -1.8580 -3.7533 -0.3360
Hf 0.0000 0.0000 0.0000
W 1.1446 -2.1382 0.0434
W -1.6830 -0.8702 1.5147
W -1.3197 -0.7448 -1.8941

9
Lattice="3.6891 0.0000 0.0000 -1.8445 9.5318 -0.5377 0.0000 -3.7377 9.0533" Properties=species:S:1:pos:R:3 comment="Tb2Pr2Nd4Y, relaxed, DFT PBE" rho_g_cm3=6.8 formation_energy_ev_per_atom=0.0081 space_group="No. 12" final_energy_ev_per_atom=-4.92 pbc="T T T"
Tb 1.8445 5.4658 2.6383
Tb 0.0000 0.3282 5.8772
Pr 0.0000 6.3618 -0.3389
Pr 1.8445 -0.5678 8.8545
Nd 1.8445 3.4978 5.6973
Nd 0.0000 2.2963 2.8183
Nd 1.8445 -0.9005 3.0102
Nd 0.0000 6.6946 5.5053
Y 0.0000 0.0000 0.0000

no.,D(E_F) (states/eV per atom),size of the total moment (μB per formula unit)
1,1.211,0.0
2,1.323,0.0